Na3MnMo2O6 PBE+U relaxed; E_tot = -6.279 eV per atom; magnetic moment = 10.000 μB per formula unit
1.0
2.7760 -4.8616 0.0000
2.7760 4.8616 0.0000
-1.8585 0.0000 5.4379
Na Mn Mo O
3 1 2 6
Direct
0.0000 0.0000 0.0000
0.3369 0.6631 0.0000
0.6631 0.3369 0.0000
0.5000 0.5000 0.5000
0.1680 0.8320 0.5000
0.8320 0.1680 0.5000
0.0877 0.4272 0.2918
0.2221 0.2221 0.7060
0.4272 0.0877 0.2918
0.5728 0.9123 0.7082
0.7779 0.7779 0.2940
0.9123 0.5728 0.7082